[1]
Material: Li2IN
Method: DFT, GGA-PBE
State: relaxed

Cell lengths 5.0526, 5.0526, 7.3314 Å; angles 69.84, 69.84, 90.00 degrees
Closest atoms and distances in Å follow each position.
Sites, in units of the cell vectors:
I 0.7500 0.2500 0.5000  4 Li 2.82
I 0.0000 0.0000 0.0000  4 Li 2.82
Li 0.8750 0.5120 0.7500  2 N 2.12
Li 0.2620 0.1250 0.2500  2 N 2.12
Li 0.3750 0.7380 0.7500  2 N 2.12
Li 0.4880 0.6250 0.2500  2 N 2.12
N 0.2500 0.7500 0.5000  4 Li 2.12
N 0.5000 0.5000 0.0000  4 Li 2.12

Summary:
crystal system = tetragonal
ΔE to the lowest computed polymorph = 0.000 eV per atom

=====

[2]
Material: PaSiO3
Method: DFT, GGA-PBE
State: relaxed

Cell lengths 3.8262, 3.8262, 3.8262 Å; angles 90.00, 90.00, 90.00 degrees
Closest atoms and distances in Å follow each position.
Sites, in units of the cell vectors:
Si 0.5000 0.5000 0.5000  6 O 1.91
O 0.5000 0.5000 0.0000  2 Si 1.91
O 0.0000 0.5000 0.5000  2 Si 1.91
O 0.5000 0.0000 0.5000  2 Si 1.91
Pa 0.0000 0.0000 0.0000  12 O 2.71

Summary:
crystal system = cubic

=====

[3]
Material: CsNaB2I8
Method: DFT, GGA-PBE
State: relaxed

Cell lengths 7.2546, 7.2546, 11.6704 Å; angles 71.89, 71.89, 60.00 degrees
Closest atoms and distances in Å follow each position.
Sites, in units of the cell vectors:
I 0.4447 0.7043 0.8153  1 B 2.27
I 0.2957 0.9644 0.1847  1 B 2.27
I 0.1807 0.1807 0.4578  1 B 2.26
I 0.5553 0.2957 0.1847  1 B 2.27
I 0.8193 0.8193 0.5422  1 B 2.26
I 0.0356 0.4447 0.8153  1 B 2.27
I 0.9644 0.5553 0.1847  1 B 2.27
I 0.7043 0.0356 0.8153  1 B 2.27
B 0.7503 0.7503 0.7492  4 I 2.26-2.27
B 0.2497 0.2497 0.2508  4 I 2.26-2.27
Na 0.0000 0.0000 0.0000  6 I 3.36
Cs 0.5000 0.5000 0.5000  12 I 4.21-4.22

Summary:
crystal system = trigonal

=====

[4]
Material: SrBe2ZnS
Method: DFT, GGA-PBE
State: relaxed

Cell lengths 4.3257, 5.5127, 4.3257 Å; angles 90.00, 90.00, 90.00 degrees
Closest atoms and distances in Å follow each position.
Sites, in units of the cell vectors:
Be 0.0000 0.0000 0.5000  2 S 2.16
Be 0.5000 0.0000 0.0000  2 S 2.16
Zn 0.5000 0.5000 0.5000  4 Sr 3.06
Sr 0.0000 0.5000 0.0000  2 S 2.76, 4 Zn 3.06
S 0.0000 0.0000 0.0000  4 Be 2.16

Summary:
crystal system = tetragonal

=====

| no. | calculated density (Mg/m³) | formation energy from raw total energies (kJ/mol of atoms) | DFT total energy (eV per cell) |
| --- | --- | --- | --- |
| 1 | 3.15 | 2 | -27.2 |
| 2 | 9.10 | -191 | -39.7 |
| 3 | 3.99 | -47 | -33.8 |
| 4 | 3.27 | 32 | -12.9 |